No. 1
{"formula": "CuSnCl2", "functional": "GGA-PBE", "state": "optimized geometry", "formation_energy_uncorrected_ev_per_atom": -0.24, "polymorph_energy_mev_per_atom": 185, "lattice": [[6.629, 0.000, 0.000], [0.000, 6.629, 0.000], [3.315, 3.315, 4.810]], "species": ["Sn", "Sn", "Cu", "Cu", "Cl", "Cl", "Cl", "Cl"], "fractional_positions": [[0.000, 0.000, 0.000], [0.750, 0.250, 0.500], [0.500, 0.500, 0.000], [0.250, 0.750, 0.500], [0.538, 0.125, 0.250], [0.212, 0.625, 0.250], [0.375, 0.462, 0.750], [0.875, 0.788, 0.750]]}



No. 2
{"formula": "CuSnCl", "functional": "GGA-PBE", "state": "optimized geometry", "formation_energy_uncorrected_ev_per_atom": -0.28, "polymorph_energy_mev_per_atom": 0, "lattice": [[5.040, -0.016, -0.010], [0.091, 5.105, 0.000], [0.103, 2.300, 5.527]], "species": ["Sn", "Sn", "Cu", "Cu", "Cl", "Cl"], "fractional_positions": [[0.745, 0.194, 0.415], [0.255, 0.806, 0.585], [0.240, 0.387, 0.427], [0.760, 0.613, 0.573], [0.250, 0.745, 0.028], [0.750, 0.255, 0.972]]}



No. 3
{"formula": "Cu2SnCl8", "functional": "GGA-PBE", "state": "optimized geometry", "formation_energy_uncorrected_ev_per_atom": -0.55, "polymorph_energy_mev_per_atom": 53, "lattice": [[7.276, 0.000, 0.000], [-3.638, 5.490, -2.231], [0.000, -1.537, 10.326]], "species": ["Sn", "Cu", "Cu", "Cl", "Cl", "Cl", "Cl", "Cl", "Cl", "Cl", "Cl"], "fractional_positions": [[0.000, 0.000, 0.000], [0.782, 0.563, 0.673], [0.218, 0.437, 0.327], [0.949, 0.353, 0.136], [0.404, 0.353, 0.136], [0.051, 0.647, 0.864], [0.388, 0.775, 0.539], [0.596, 0.647, 0.864], [0.992, 0.984, 0.235], [0.008, 0.016, 0.765], [0.612, 0.225, 0.461]]}



No. 4
{"formula": "Cu2SnCl8", "functional": "GGA-PBE", "state": "optimized geometry", "formation_energy_uncorrected_ev_per_atom": -0.61, "polymorph_energy_mev_per_atom": 0, "lattice": [[-5.054, 2.722, -2.443], [-4.753, 0.055, 5.840], [1.452, 7.308, 1.088]], "species": ["Cu", "Cu", "Sn", "Cl", "Cl", "Cl", "Cl", "Cl", "Cl", "Cl", "Cl"], "fractional_positions": [[0.337, 0.209, 0.209], [0.663, 0.791, 0.791], [0.000, 0.000, 0.000], [0.804, 0.063, 0.747], [0.196, 0.253, 0.937], [0.686, 0.219, 0.219], [0.314, 0.781, 0.781], [0.804, 0.747, 0.063], [0.196, 0.937, 0.253], [0.179, 0.424, 0.424], [0.821, 0.576, 0.576]]}